SrMo2Os GGA-PBE optimized geometry; energy of formation = 665 meV per atom; D(E_F) = 4.4 states/eV per cell; calculated volume = 84 Å³ per cell
1.0
2.935 0.000 0.000
0.000 3.761 0.000
-0.026 0.000 7.565
Sr Mo Os
1 2 1
Cartesian
0.000 0.000 0.000 Sr
1.450 1.881 2.534 Mo
1.459 1.881 5.030 Mo
-0.013 0.000 3.782 Os

---

LaPb2AuF GGA-PBE optimized geometry; D(E_F) = 3.2 states/eV per cell; uncorrected formation energy = -0.536 eV per atom; calculated volume = 179 Å³ per cell
1.0
6.381 0.000 0.000
0.000 6.381 0.000
0.000 0.000 4.386
La Pb Au F
1 2 1 1
Cartesian
0.000 0.000 0.000 La
0.000 3.190 0.000 Pb
3.190 0.000 0.000 Pb
3.190 3.190 2.193 Au
0.000 0.000 2.193 F

---

TaZnIr GGA-PBE optimized geometry; energy of formation = -262 meV per atom; D(E_F) = 2.8 states/eV per cell; calculated volume = 111 Å³ per cell
1.0
2.208 1.275 6.601
-2.208 1.275 6.601
0.000 -2.550 6.601
Ta Zn Ir
2 2 2
Cartesian
0.000 0.000 2.312 Ta
0.000 0.000 17.492 Ta
0.000 0.000 7.458 Zn
0.000 0.000 12.346 Zn
0.000 0.000 4.822 Ir
0.000 0.000 14.982 Ir

---

> Which of these has the highest calculated volume?

LaPb2AuF

---

> Which formula does entry 2 have?

LaPb2AuF